# 1
The following is a DFT calculation (PBE) of a geometry-optimized NaPbSeBr2 structure.

The space group is P4/mmm (No. 123) and the conventional cell measures 5.894, 5.894 and 5.441 Å, with angles of 90.00, 90.00 and 90.00 degrees. The inequivalent atoms are Na at (0.000, 0.000, 0.000), Pb at (0.500, 0.500, 0.500), Se at (0.500, 0.500, 0.000) and Br at (0.000, 0.500, 0.500).

Its energy above the most stable polymorph in this dataset is 0.0 meV/atom. Its uncorrected formation energy is -599 meV/atom. The value obtained for the raw total energy is -14.852 eV/cell.


# 2
The following is a DFT calculation (PBE) of a geometry-optimized PrYThMg structure.

The space group is F-43m (No. 216) and the conventional cell measures 7.924, 7.924 and 7.924 Å, with angles of 90.00, 90.00 and 90.00 degrees. The inequivalent atoms are Pr at (0.000, 0.000, 0.000), Y at (0.000, 0.000, 0.500), Th at (0.250, 0.250, 0.250) and Mg at (0.250, 0.250, 0.750).

Its energy above the most stable polymorph in this dataset is 199.6 meV/atom. The calculation puts the formation enthalpy at 0 K at 0.153 eV/atom. The value obtained for the raw total energy is -78.576 eV/cell.


# 3
The following is a DFT calculation (PBE) of a geometry-optimized BeTl3 structure.

The space group is Cmmm (No. 65) and the conventional cell measures 6.605, 8.699 and 3.643 Å, with angles of 90.00, 90.00 and 90.00 degrees. The inequivalent atoms are Be at (0.000, 0.000, 0.000), Tl at (0.000, 0.500, 0.000) and Tl at (0.250, 0.250, 0.500).

Its energy above the most stable polymorph in this dataset is 244.7 meV/atom. The calculation puts the formation enthalpy at 0 K at 0.563 eV/atom. The value obtained for the raw total energy is -17.144 eV/cell.